Entry w
Material: BaPr2Eu
Method: DFT, PBE
State: optimized geometry

The space group is R-3m (No. 166, hexagonal axes) and the conventional cell measures 3.7702, 3.7702 and 40.7783 Å, with angles of 90.00, 90.00 and 120.00 degrees. The inequivalent atoms are Ba at (0.0000, 0.0000, 0.0000), Pr at (0.0000, 0.0000, 0.0910) and Eu at (0.0000, 0.0000, 0.5000).

Its density of states at the Fermi level is 1.444 states/eV per atom.

***

Entry x
Material: BaPr2Eu
Method: DFT, PBE
State: optimized geometry

The space group is P4/mmm (No. 123) and the conventional cell measures 3.874, 3.874 and 11.119 Å, with angles of 90.00, 90.00 and 90.00 degrees. The inequivalent atoms are Ba at (0.000, 0.000, 0.000), Pr at (0.500, 0.500, 0.270) and Eu at (0.000, 0.000, 0.500).

Its density of states at the Fermi level is 1.426 states/eV per atom.

***

Taking the most stable structure as the zero point, the relative energies in meV/atom are entry w 83; entry x 0.

***

Entry w
Material: RbBa2Eu
Method: DFT, PBE
State: optimized geometry

The space group is P4/mmm (No. 123) and the conventional cell measures 7.290, 7.290 and 4.700 Å, with angles of 90.00, 90.00 and 90.00 degrees. The inequivalent atoms are Rb at (0.000, 0.000, 0.000), Ba at (0.000, 0.500, 0.500) and Eu at (0.500, 0.500, 0.000).

Its density of states at the Fermi level is 1.415 states/eV per atom.

***

Entry x
Material: RbBa2Eu
Method: DFT, PBE
State: optimized geometry

The space group is R-3m (No. 166, hexagonal axes) and the conventional cell measures 4.3673, 4.3673 and 46.3602 Å, with angles of 90.00, 90.00 and 120.00 degrees. The inequivalent atoms are Rb at (0.0000, 0.0000, 0.0000), Ba at (0.0000, 0.0000, 0.0941) and Eu at (0.0000, 0.0000, 0.5000).

Its density of states at the Fermi level is 3.426 states/eV per atom.

***

Entry y
Material: RbBa2Eu
Method: DFT, PBE
State: optimized geometry

The space group is P4/mmm (No. 123) and the conventional cell measures 4.508, 4.508 and 12.612 Å, with angles of 90.00, 90.00 and 90.00 degrees. The inequivalent atoms are Rb at (0.000, 0.000, 0.000), Ba at (0.500, 0.500, 0.291) and Eu at (0.000, 0.000, 0.500).

Its density of states at the Fermi level is 3.396 states/eV per atom.

***

Taking the most stable structure as the zero point, the relative energies in meV/atom are entry w 66; entry x 34; entry y 0.

***

Entry w
Material: BaEu2Rh
Method: DFT, PBE
State: optimized geometry

The space group is P4/mmm (No. 123) and the conventional cell measures 3.697, 3.697 and 10.225 Å, with angles of 90.00, 90.00 and 90.00 degrees. The inequivalent atoms are Ba at (0.000, 0.000, 0.000), Eu at (0.500, 0.500, 0.339) and Rh at (0.000, 0.000, 0.500).

Its density of states at the Fermi level is 4.564 states/eV per atom.

***

Entry x
Material: BaEu2Rh
Method: DFT, PBE
State: optimized geometry

The space group is R-3m (No. 166, hexagonal axes) and the conventional cell measures 4.1176, 4.1176 and 33.1422 Å, with angles of 90.00, 90.00 and 120.00 degrees. The inequivalent atoms are Ba at (0.0000, 0.0000, 0.0000), Eu at (0.0000, 0.0000, 0.1184) and Rh at (0.0000, 0.0000, 0.5000).

Its density of states at the Fermi level is 4.960 states/eV per atom.

***

Taking the most stable structure as the zero point, the relative energies in meV/atom are entry w 0; entry x 66.

***

Entry w
Material: BaEuRh
Method: DFT, PBE
State: optimized geometry

The space group is I4mm (No. 107) and the conventional cell measures 3.726, 3.726 and 14.350 Å, with angles of 90.00, 90.00 and 90.00 degrees. The inequivalent atoms are Ba at (0.000, 0.000, 0.000), Eu at (0.000, 0.000, 0.243) and Rh at (0.000, 0.000, 0.638).

Its density of states at the Fermi level is 3.688 states/eV per atom.

***

Entry x
Material: BaEuRh
Method: DFT, PBE
State: optimized geometry

The space group is P3m1 (No. 156) and the conventional cell measures 4.3624, 4.3624 and 6.8619 Å, with angles of 90.00, 90.00 and 120.00 degrees. The inequivalent atoms are Ba at (0.0000, 0.0000, 0.0000), Eu at (0.6667, 0.3333, 0.4624) and Rh at (0.3333, 0.6667, 0.2633).

Its density of states at the Fermi level is 4.621 states/eV per atom.

***

Taking the most stable structure as the zero point, the relative energies in meV/atom are entry w 13; entry x 0.

***

Entry w
Material: BaEuSb
Method: DFT, PBE
State: optimized geometry

The space group is P3m1 (No. 156) and the conventional cell measures 5.4073, 5.4073 and 4.9714 Å, with angles of 90.00, 90.00 and 120.00 degrees. The inequivalent atoms are Ba at (0.0000, 0.0000, 0.0000), Eu at (0.6667, 0.3333, 0.4996) and Sb at (0.3333, 0.6667, 0.5017).

Its density of states at the Fermi level is 3.709 states/eV per atom.

***

Entry x
Material: BaEuSb
Method: DFT, PBE
State: optimized geometry

The space group is I4mm (No. 107) and the conventional cell measures 4.352, 4.352 and 12.358 Å, with angles of 90.00, 90.00 and 90.00 degrees. The inequivalent atoms are Ba at (0.000, 0.000, 0.000), Eu at (0.000, 0.000, 0.730) and Sb at (0.000, 0.000, 0.331).

Its density of states at the Fermi level is 0.575 states/eV per atom.

***

Taking the most stable structure as the zero point, the relative energies in meV/atom are entry w 0; entry x 35.

***

Entry w
Material: Ba2SrEu
Method: DFT, PBE
State: optimized geometry

The space group is Fm-3m (No. 225) and the conventional cell measures 9.655, 9.655 and 9.655 Å, with angles of 90.00, 90.00 and 90.00 degrees. The inequivalent atoms are Ba at (0.250, 0.250, 0.250), Sr at (0.000, 0.000, 0.000) and Eu at (0.000, 0.000, 0.500).

Its density of states at the Fermi level is 4.097 states/eV per atom.

***

Entry x
Material: Ba2SrEu
Method: DFT, PBE
State: optimized geometry

The space group is P4/mmm (No. 123) and the conventional cell measures 4.766, 4.766 and 9.866 Å, with angles of 90.00, 90.00 and 90.00 degrees. The inequivalent atoms are Ba at (0.000, 0.000, 0.239), Sr at (0.500, 0.500, 0.500) and Eu at (0.500, 0.500, 0.000).

Its density of states at the Fermi level is 3.759 states/eV per atom.

***

Taking the most stable structure as the zero point, the relative energies in meV/atom are entry w 7; entry x 0.

***

Entry w
Material: BaTbEu2
Method: DFT, PBE
State: optimized geometry

The space group is Fm-3m (No. 225) and the conventional cell measures 8.813, 8.813 and 8.813 Å, with angles of 90.00, 90.00 and 90.00 degrees. The inequivalent atoms are Ba at (0.000, 0.000, 0.000), Tb at (0.000, 0.000, 0.500) and Eu at (0.250, 0.250, 0.250).

Its density of states at the Fermi level is 1.157 states/eV per atom.

***

Entry x
Material: BaTbEu2
Method: DFT, PBE
State: optimized geometry

The space group is P4/mmm (No. 123) and the conventional cell measures 6.260, 6.260 and 4.345 Å, with angles of 90.00, 90.00 and 90.00 degrees. The inequivalent atoms are Ba at (0.000, 0.000, 0.000), Tb at (0.500, 0.500, 0.000) and Eu at (0.000, 0.500, 0.500).

Its density of states at the Fermi level is 1.056 states/eV per atom.

***

Taking the most stable structure as the zero point, the relative energies in meV/atom are entry w 0; entry x 6.

***

Entry w
Material: BaTbEu2
Method: DFT, PBE
State: optimized geometry

The space group is P4/mmm (No. 123) and the conventional cell measures 3.968, 3.968 and 11.063 Å, with angles of 90.00, 90.00 and 90.00 degrees. The inequivalent atoms are Ba at (0.000, 0.000, 0.000), Tb at (0.000, 0.000, 0.500) and Eu at (0.500, 0.500, 0.284).

Its density of states at the Fermi level is 1.207 states/eV per atom.

***

Entry x
Material: BaTbEu2
Method: DFT, PBE
State: optimized geometry

The space group is R-3m (No. 166, hexagonal axes) and the conventional cell measures 3.7715, 3.7715 and 41.3788 Å, with angles of 90.00, 90.00 and 120.00 degrees. The inequivalent atoms are Ba at (0.0000, 0.0000, 0.0000), Tb at (0.0000, 0.0000, 0.5000) and Eu at (0.0000, 0.0000, 0.4182).

Its density of states at the Fermi level is 1.383 states/eV per atom.

***

Taking the most stable structure as the zero point, the relative energies in meV/atom are entry w 0; entry x 195.

***

Entry w
Material: BaEuTl
Method: DFT, PBE
State: optimized geometry

The space group is F-43m (No. 216) and the conventional cell measures 8.179, 8.179 and 8.179 Å, with angles of 90.00, 90.00 and 90.00 degrees. The inequivalent atoms are Ba at (0.000, 0.000, 0.000), Eu at (0.000, 0.000, 0.500) and Tl at (0.250, 0.250, 0.750).

Its density of states at the Fermi level is 3.839 states/eV per atom.

***

Entry x
Material: BaEuTl
Method: DFT, PBE
State: optimized geometry

The space group is I4mm (No. 107) and the conventional cell measures 4.196, 4.196 and 14.119 Å, with angles of 90.00, 90.00 and 90.00 degrees. The inequivalent atoms are Ba at (0.000, 0.000, 0.000), Eu at (0.000, 0.000, 0.273) and Tl at (0.000, 0.000, 0.657).

Its density of states at the Fermi level is 2.458 states/eV per atom.

***

Entry y
Material: BaEuTl
Method: DFT, PBE
State: optimized geometry

The space group is P3m1 (No. 156) and the conventional cell measures 5.7681, 5.7681 and 4.2613 Å, with angles of 90.00, 90.00 and 120.00 degrees. The inequivalent atoms are Ba at (0.0000, 0.0000, 0.0000), Eu at (0.3333, 0.6667, 0.5009) and Tl at (0.6667, 0.3333, 0.4985).

Its density of states at the Fermi level is 1.039 states/eV per atom.

***

Taking the most stable structure as the zero point, the relative energies in meV/atom are entry w 118; entry x 0; entry y 105.

***

Entry w
Material: BaEu2Tl
Method: DFT, PBE
State: optimized geometry

The space group is P4/mmm (No. 123) and the conventional cell measures 4.104, 4.104 and 9.985 Å, with angles of 90.00, 90.00 and 90.00 degrees. The inequivalent atoms are Ba at (0.000, 0.000, 0.000), Eu at (0.500, 0.500, 0.317) and Tl at (0.000, 0.000, 0.500).

Its density of states at the Fermi level is 3.727 states/eV per atom.

***

Entry x
Material: BaEu2Tl
Method: DFT, PBE
State: optimized geometry

The space group is P4/mmm (No. 123) and the conventional cell measures 5.308, 5.308 and 5.451 Å, with angles of 90.00, 90.00 and 90.00 degrees. The inequivalent atoms are Ba at (0.000, 0.000, 0.000), Eu at (0.000, 0.500, 0.500) and Tl at (0.500, 0.500, 0.000).

Its density of states at the Fermi level is 3.639 states/eV per atom.

***

Taking the most stable structure as the zero point, the relative energies in meV/atom are entry w 0; entry x 68.

***

Entry w
Material: BaEu2Tm
Method: DFT, PBE
State: optimized geometry

The space group is P4/mmm (No. 123) and the conventional cell measures 4.163, 4.163 and 9.894 Å, with angles of 90.00, 90.00 and 90.00 degrees. The inequivalent atoms are Ba at (0.000, 0.000, 0.000), Eu at (0.500, 0.500, 0.294) and Tm at (0.000, 0.000, 0.500).

Its density of states at the Fermi level is 3.393 states/eV per atom.

***

Entry x
Material: BaEu2Tm
Method: DFT, PBE
State: optimized geometry

The space group is Fm-3m (No. 225) and the conventional cell measures 8.757, 8.757 and 8.757 Å, with angles of 90.00, 90.00 and 90.00 degrees. The inequivalent atoms are Ba at (0.000, 0.000, 0.000), Eu at (0.250, 0.250, 0.250) and Tm at (0.000, 0.000, 0.500).

Its density of states at the Fermi level is 1.087 states/eV per atom.

***

Taking the most stable structure as the zero point, the relative energies in meV/atom are entry w 0; entry x 79.

***

Entry w
Material: BaEuY
Method: DFT, PBE
State: optimized geometry

The space group is P3m1 (No. 156) and the conventional cell measures 3.9038, 3.9038 and 9.6799 Å, with angles of 90.00, 90.00 and 120.00 degrees. The inequivalent atoms are Ba at (0.0000, 0.0000, 0.0000), Eu at (0.3333, 0.6667, 0.6359) and Y at (0.6667, 0.3333, 0.3359).

Its density of states at the Fermi level is 2.426 states/eV per atom.

***

Entry x
Material: BaEuY
Method: DFT, PBE
State: optimized geometry

The space group is I4mm (No. 107) and the conventional cell measures 3.927, 3.927 and 16.971 Å, with angles of 90.00, 90.00 and 90.00 degrees. The inequivalent atoms are Ba at (0.000, 0.000, 0.000), Eu at (0.000, 0.000, 0.687) and Y at (0.000, 0.000, 0.330).

Its density of states at the Fermi level is 1.551 states/eV per atom.

***

Taking the most stable structure as the zero point, the relative energies in meV/atom are entry w 0; entry x 7.